Here is a geometry-optimized RbSnBr3 structure from Alexandria. Energies are from PBE.

Output
As for the uncorrected formation energy: -1.18 eV/atom. As for the total magnetization: 0.0 μB per cell. The total energy is -0.23374 Ry/atom. For the volume, the calculation gives 194.4 Å³/f.u.

abc: 5.9263 8.0983 8.1012
angles: 90.00 90.09 90.02
Space group P1 (No. 1)
Inequivalent atoms, fractional coordinates:
Rb 0.0000 0.0000 0.0000 (multiplicity 1)
Rb 0.0022 0.4989 0.5154 (multiplicity 1)
Sn 0.5008 0.4932 0.0095 (multiplicity 1)
Sn 0.5009 0.9932 0.5075 (multiplicity 1)
Br 0.0014 0.4924 0.0064 (multiplicity 1)
Br 0.0015 0.9927 0.5103 (multiplicity 1)
Br 0.5002 0.1739 0.1886 (multiplicity 1)
Br 0.5004 0.8105 0.8252 (multiplicity 1)
Br 0.5019 0.3103 0.6914 (multiplicity 1)
Br 0.5020 0.6737 0.3279 (multiplicity 1)